(1)
## RbBaBi2Pt (PBE-GGA)

Data for an optimized crystal structure of RbBaBi2Pt.

Calculated values
* space-group type: P4/mmm, No. 123
* E_tot: -11.07 eV for the cell shown
* formation enthalpy at 0 K: 1.13 eV per atom
* DOS(E_F): 1.928 states/eV per atom

Unit cell a=6.330 b=6.770 c=6.330 alpha=90.00 beta=90.00 gamma=90.00
Fractional positions:
Bi: 0.500 0.000 0.000
Bi: 0.000 0.000 0.500
Ba: 0.000 0.000 0.000
Rb: 0.000 0.500 0.000
Pt: 0.500 0.500 0.500

=====

(2)
## Ba2Bi6PtRh (PBE-GGA)

Data for an optimized crystal structure of Ba2Bi6PtRh.

Calculated values
* space-group type: Pmmn, No. 59
* E_tot: -89.13 eV for the cell shown
* formation enthalpy at 0 K: -0.40 eV per atom
* DOS(E_F): 0.624 states/eV per atom

Unit cell a=8.395 b=7.441 c=10.322 alpha=90.00 beta=90.00 gamma=90.00
Fractional positions:
Bi: 0.208 0.939 0.500
Rh: 0.500 0.092 0.500
Ba: 0.500 0.742 0.250
Bi: 0.500 0.240 0.251
Bi: 0.292 0.061 0.000
Pt: 0.500 0.415 0.000
Bi: 0.000 0.760 0.249
Bi: 0.799 0.572 0.000
Rh: 0.000 0.908 0.000
Ba: 0.000 0.258 0.250
Bi: 0.201 0.572 0.000
Pt: 0.000 0.585 0.500
Bi: 0.708 0.061 0.000
Ba: 0.000 0.258 0.750
Bi: 0.500 0.240 0.749
Bi: 0.701 0.428 0.500
Bi: 0.299 0.428 0.500
Bi: 0.000 0.760 0.751
Ba: 0.500 0.742 0.750
Bi: 0.792 0.939 0.500

=====

(3)
## Ba2Bi4Pt3Rh (PBE-GGA)

Data for an optimized crystal structure of Ba2Bi4Pt3Rh.

Calculated values
* space-group type: P-4m2, No. 115
* E_tot: -50.50 eV for the cell shown
* formation enthalpy at 0 K: -0.57 eV per atom
* DOS(E_F): 0.652 states/eV per atom

Unit cell a=4.966 b=4.966 c=10.924 alpha=90.00 beta=90.00 gamma=90.00
Fractional positions:
Rh: 0.500 0.500 0.500
Bi: 0.000 0.500 0.382
Pt: 0.500 0.000 0.875
Ba: 0.500 0.000 0.259
Bi: 0.500 0.000 0.618
Pt: 0.000 0.500 0.125
Ba: 0.000 0.500 0.741
Pt: 0.000 0.000 0.500
Bi: 0.000 0.000 0.000
Bi: 0.500 0.500 0.000

=====

(4)
## Ba4Bi2Sb2Pt (PBE-GGA)

Data for an optimized crystal structure of Ba4Bi2Sb2Pt.

Calculated values
* formation energy (no corrections): -0.73 eV/atom
* space-group type: C2/m, No. 12
* E_tot: -36.34 eV for the cell shown
* DOS(E_F): 0.420 states/eV per atom

Unit cell a=6.366 b=7.645 c=7.645 alpha=68.50 beta=83.71 gamma=83.71
Fractional positions:
Bi: 0.838 0.841 0.841
Ba: 0.271 0.625 0.147
Ba: 0.729 0.375 0.853
Bi: 0.162 0.159 0.159
Pt: 0.500 0.000 0.000
Ba: 0.729 0.853 0.375
Sb: 0.781 0.355 0.355
Sb: 0.219 0.645 0.645
Ba: 0.271 0.147 0.625

=====

(5)
## Ba2BiSb3Pt4 (PBE-GGA)

Data for an optimized crystal structure of Ba2BiSb3Pt4.

Calculated values
* formation energy (no corrections): -0.76 eV/atom
* space-group type: P-4m2, No. 115
* E_tot: -51.85 eV for the cell shown
* DOS(E_F): 0.584 states/eV per atom

Unit cell a=4.856 b=4.856 c=10.771 alpha=90.00 beta=90.00 gamma=90.00
Fractional positions:
Ba: 0.000 0.500 0.760
Sb: 0.000 0.500 0.121
Sb: 0.000 0.000 0.500
Pt: 0.500 0.500 0.000
Ba: 0.500 0.000 0.240
Bi: 0.500 0.500 0.500
Pt: 0.000 0.500 0.371
Sb: 0.500 0.000 0.879
Pt: 0.500 0.000 0.629
Pt: 0.000 0.000 0.000

=====

(6)
## Ba2Si3BiPt12 (PBE-GGA)

Data for an optimized crystal structure of Ba2Si3BiPt12.

Calculated values
* formation energy (no corrections): -0.31 eV/atom
* space-group type: R-3m, No. 166
* E_tot: -102.10 eV for the cell shown
* DOS(E_F): 0.282 states/eV per atom

Unit cell a=8.207 b=8.207 c=8.207 alpha=60.43 beta=60.43 gamma=60.43
Fractional positions:
Pt: 0.654 0.654 0.097
Ba: 0.390 0.390 0.390
Pt: 0.121 0.608 0.121
Pt: 0.392 0.879 0.879
Pt: 0.097 0.654 0.654
Pt: 0.879 0.879 0.392
Pt: 0.879 0.392 0.879
Pt: 0.608 0.121 0.121
Si: 0.000 0.500 0.000
Si: 0.000 0.000 0.500
Si: 0.500 0.000 0.000
Pt: 0.346 0.346 0.903
Pt: 0.903 0.346 0.346
Pt: 0.346 0.903 0.346
Pt: 0.654 0.097 0.654
Bi: 0.000 0.000 0.000
Ba: 0.610 0.610 0.610
Pt: 0.121 0.121 0.608

=====

(7)
## BaSi2BiPt (PBE-GGA)

Data for an optimized crystal structure of BaSi2BiPt.

Calculated values
* formation energy (no corrections): 1.52 eV/atom
* space-group type: P4/mmm, No. 123
* E_tot: -15.07 eV for the cell shown
* DOS(E_F): 0.654 states/eV per atom

Unit cell a=5.568 b=5.374 c=5.568 alpha=90.00 beta=90.00 gamma=90.00
Fractional positions:
Bi: 0.500 0.500 0.500
Ba: 0.000 0.000 0.000
Si: 0.500 0.000 0.000
Pt: 0.000 0.500 0.000
Si: 0.000 0.000 0.500

=====

(8)
## Ba2SnBi3Pt4 (PBE-GGA)

Data for an optimized crystal structure of Ba2SnBi3Pt4.

Calculated values
* space-group type: P-4m2, No. 115
* E_tot: -50.05 eV for the cell shown
* formation enthalpy at 0 K: -0.64 eV per atom
* DOS(E_F): 0.755 states/eV per atom

Unit cell a=4.938 b=4.938 c=10.919 alpha=90.00 beta=90.00 gamma=90.00
Fractional positions:
Bi: 0.000 0.000 0.500
Ba: 0.500 0.000 0.241
Bi: 0.000 0.500 0.124
Bi: 0.500 0.000 0.876
Pt: 0.000 0.000 0.000
Ba: 0.000 0.500 0.759
Sn: 0.500 0.500 0.500
Pt: 0.500 0.500 0.000
Pt: 0.500 0.000 0.619
Pt: 0.000 0.500 0.381